# Zn3Ga4Ag GGA-PBE relaxed
# Magnetization, μB/f.u.: 0.0
# Calculated total energy, eV/atom: -2.268
# ΔE to the lowest computed polymorph, eV per formula unit: 0.41
data_Zn3Ga4Ag
_symmetry_space_group_name_H-M 'R -3 m'
_symmetry_Int_Tables_number 166
_symmetry_space_group_name_Hall '-R 3 2"'
_cell_length_a 4.4022
_cell_length_b 4.4022
_cell_length_c 25.9449
_cell_angle_alpha 90.00
_cell_angle_beta 90.00
_cell_angle_gamma 120.00
loop_
_atom_site_label
_atom_site_fract_x
_atom_site_fract_y
_atom_site_fract_z
Zn1 0.0000 0.0000 0.0000
Zn2 0.0000 0.0000 0.2118
Ga1 0.0000 0.0000 0.1000
Ga2 0.0000 0.0000 0.3719
Ag1 0.0000 0.0000 0.5000